A relaxed structure of Cu2PS, computed with PBE.

As for the density: 4.51 Mg/m³. The total energy comes out at -4.38 eV/atom. Its space group is No. 122. For the uncorrected formation energy, the calculation gives 0.048 eV per atom.

```
Cu2PS
1.0
-3.7928 3.8488 0.6976
-2.7783 -3.3349 3.2932
-0.9005 1.9347 5.7067
P S Cu
2 2 4
Direct
0.5000 0.5000 0.0000 P
0.2500 0.7500 0.5000 P
0.0000 0.0000 0.0000 S
0.7500 0.2500 0.5000 S
0.6239 0.1250 0.2500 Cu
0.1261 0.6250 0.2500 Cu
0.3750 0.3761 0.7500 Cu
0.8750 0.8739 0.7500 Cu
```